{"formula": "Zr4ReIr", "functional": "GGA-PBEsol", "state": "optimized geometry", "lattice": [[0.000, 3.820, 3.820], [3.820, 0.000, 3.820], [3.820, 3.820, 0.000]], "species": ["Zr", "Zr", "Zr", "Zr", "Re", "Ir"], "fractional_positions": [[0.125, 0.125, 0.125], [0.125, 0.125, 0.625], [0.125, 0.625, 0.125], [0.625, 0.125, 0.125], [0.750, 0.750, 0.750], [0.500, 0.500, 0.500]], "spacegroup": "F-43m"}

=====

{"formula": "IrRh", "functional": "GGA-PBEsol", "state": "optimized geometry", "lattice": [[3.960, 0.000, 0.000], [-1.980, 3.429, 0.000], [0.000, 0.000, 6.005]], "species": ["Ir", "Ir", "Rh", "Rh"], "fractional_positions": [[0.333, 0.667, 0.000], [0.667, 0.333, 0.500], [0.333, 0.667, 0.604], [0.667, 0.333, 0.104]], "spacegroup": "P6_3mc"}

=====

{"formula": "Ir5Rh", "functional": "GGA-PBEsol", "state": "optimized geometry", "lattice": [[4.700, 0.000, 0.000], [-2.350, 4.071, 0.000], [0.000, 0.000, 4.397]], "species": ["Ir", "Ir", "Ir", "Ir", "Ir", "Rh"], "fractional_positions": [[0.000, 0.666, 0.000], [0.333, 0.667, 0.500], [0.334, 0.334, 0.000], [0.666, 0.000, 0.000], [0.667, 0.333, 0.500], [0.000, 0.000, 0.500]], "spacegroup": "P-62m"}

=====

no.,DOS at the Fermi energy (states/eV/f.u.),E_form (eV per atom)
1,11.51,0.579
2,2.86,1.327
3,7.11,0.057